No. 1
## Mn2Pd4Au3 (PBE-GGA)

Data for an optimized crystal structure of Mn2Pd4Au3.

Cell: 4.883 4.883 8.432 Å, 105.92 105.92 49.08°
Positions (direct):
Mn  0.168  0.168  0.217
Mn  0.832  0.832  0.783
Pd  0.166  0.166  0.891
Pd  0.500  0.500  0.330
Pd  0.500  0.500  0.670
Pd  0.834  0.834  0.109
Au  0.167  0.167  0.557
Au  0.500  0.500  0.000
Au  0.833  0.833  0.443

Output
The calculation puts the formation energy at -198 meV per atom. The final energy is -5.636 eV per atom.

---

No. 2
## MnPd5Au8 (PBE-GGA)

Data for an optimized crystal structure of MnPd5Au8.

Cell: 6.878 6.878 6.878 Å, 109.41 109.41 109.60°
Positions (direct):
Mn  0.000  0.000  0.000
Pd  0.212  0.299  0.693
Pd  0.250  0.750  0.500
Pd  0.480  0.788  0.087
Pd  0.606  0.520  0.307
Pd  0.701  0.394  0.913
Au  0.138  0.431  0.072
Au  0.359  0.066  0.928
Au  0.411  0.139  0.396
Au  0.569  0.641  0.707
Au  0.743  0.015  0.604
Au  0.861  0.257  0.272
Au  0.934  0.862  0.293
Au  0.985  0.589  0.728

Output
The calculation puts the formation energy at 49 meV per atom. The final energy is -4.334 eV per atom.

---

No. 3
## MnPdAu4 (PBE-GGA)

Data for an optimized crystal structure of MnPdAu4.

Cell: 7.116 4.979 5.885 Å, 90.00 98.92 90.00°
Positions (direct):
Mn  0.000  0.104  0.250
Mn  0.000  0.896  0.750
Pd  0.500  0.404  0.250
Pd  0.500  0.596  0.750
Au  0.165  0.398  0.920
Au  0.165  0.602  0.420
Au  0.326  0.097  0.582
Au  0.326  0.903  0.082
Au  0.674  0.097  0.918
Au  0.674  0.903  0.418
Au  0.835  0.398  0.580
Au  0.835  0.602  0.080

Output
The calculation puts the formation energy at -65 meV per atom. The final energy is -4.644 eV per atom.

---

No. 4
## Mn2Pd5Au2 (PBE-GGA)

Data for an optimized crystal structure of Mn2Pd5Au2.

Cell: 8.595 8.595 8.595 Å, 141.83 62.67 132.30°
Positions (direct):
Mn  0.096  0.033  0.063
Mn  0.470  0.033  0.437
Mn  0.530  0.967  0.563
Mn  0.904  0.967  0.937
Pd  0.134  0.000  0.634
Pd  0.134  0.500  0.134
Pd  0.209  0.959  0.250
Pd  0.402  0.000  0.902
Pd  0.402  0.500  0.402
Pd  0.598  0.000  0.098
Pd  0.598  0.500  0.598
Pd  0.791  0.041  0.750
Pd  0.866  0.000  0.366
Pd  0.866  0.500  0.866
Au  0.000  0.500  0.500
Au  0.214  0.464  0.750
Au  0.500  0.500  0.000
Au  0.786  0.536  0.250

Output
The calculation puts the formation energy at 171 meV per atom. The final energy is -5.480 eV per atom.

---

No. 5
## MnPd7Au12 (PBE-GGA)

Data for an optimized crystal structure of MnPd7Au12.

Cell: 7.493 7.493 7.493 Å, 106.96 106.96 106.96°
Positions (direct):
Mn  0.000  0.000  0.000
Pd  0.018  0.904  0.320
Pd  0.096  0.680  0.982
Pd  0.320  0.018  0.904
Pd  0.500  0.500  0.500
Pd  0.680  0.982  0.096
Pd  0.904  0.320  0.018
Pd  0.982  0.096  0.680
Au  0.041  0.300  0.405
Au  0.226  0.665  0.366
Au  0.300  0.405  0.041
Au  0.335  0.634  0.774
Au  0.366  0.226  0.665
Au  0.405  0.041  0.300
Au  0.595  0.959  0.700
Au  0.634  0.774  0.335
Au  0.665  0.366  0.226
Au  0.700  0.595  0.959
Au  0.774  0.335  0.634
Au  0.959  0.700  0.595

Output
The calculation puts the formation energy at -18 meV per atom. The final energy is -4.261 eV per atom.

---

No. 6
## Mn4Pd7Au (PBE-GGA)

Data for an optimized crystal structure of Mn4Pd7Au.

Cell: 6.842 6.842 7.626 Å, 120.07 120.07 41.75°
Positions (direct):
Mn  0.058  0.058  0.227
Mn  0.193  0.193  0.851
Mn  0.807  0.807  0.149
Mn  0.942  0.942  0.773
Pd  0.000  0.000  0.500
Pd  0.251  0.251  0.221
Pd  0.299  0.299  0.630
Pd  0.428  0.428  0.083
Pd  0.572  0.572  0.917
Pd  0.701  0.701  0.370
Pd  0.749  0.749  0.779
Au  0.500  0.500  0.500

Output
The calculation puts the formation energy at 101 meV per atom. The final energy is -6.258 eV per atom.

---

No. 7
## Mn3Pd4Au (PBE-GGA)

Data for an optimized crystal structure of Mn3Pd4Au.

Cell: 9.086 5.949 4.611 Å, 90.00 90.00 90.00°
Positions (direct):
Mn  0.000  0.000  0.000
Mn  0.250  0.000  0.419
Mn  0.250  0.500  0.407
Mn  0.500  0.000  0.000
Mn  0.750  0.000  0.581
Mn  0.750  0.500  0.593
Pd  0.000  0.240  0.500
Pd  0.000  0.760  0.500
Pd  0.250  0.241  0.910
Pd  0.250  0.759  0.910
Pd  0.500  0.240  0.500
Pd  0.500  0.760  0.500
Pd  0.750  0.241  0.090
Pd  0.750  0.759  0.090
Au  0.000  0.500  0.000
Au  0.500  0.500  0.000

Output
The calculation puts the formation energy at -191 meV per atom. The final energy is -6.635 eV per atom.

---

No. 8
## Mn6PdAu12 (PBE-GGA)

Data for an optimized crystal structure of Mn6PdAu12.

Cell: 6.881 6.881 6.881 Å, 99.18 99.18 99.18°
Positions (direct):
Mn  0.031  0.801  0.198
Mn  0.198  0.031  0.801
Mn  0.199  0.802  0.969
Mn  0.801  0.198  0.031
Mn  0.802  0.969  0.199
Mn  0.969  0.199  0.802
Pd  0.500  0.500  0.500
Au  0.144  0.439  0.173
Au  0.166  0.675  0.560
Au  0.173  0.144  0.439
Au  0.325  0.440  0.834
Au  0.439  0.173  0.144
Au  0.440  0.834  0.325
Au  0.560  0.166  0.675
Au  0.561  0.827  0.856
Au  0.675  0.560  0.166
Au  0.827  0.856  0.561
Au  0.834  0.325  0.440
Au  0.856  0.561  0.827

Output
The calculation puts the formation energy at 327 meV per atom. The final energy is -4.912 eV per atom.

---

So what do the calculations give for DOS(E_F)? Going down the list: 3.45; 5.57; 2.39; 7.25; 8.11; 5.52; 3.22; 15.98 states/eV/f.u..
So what do the calculations give for volume? Going down the list: 16.1; 17.9; 17.2; 15.9; 17.5; 16.7; 15.6; 16.4 Å³/atom.
So what do the calculations give for magnetic moment? Going down the list: 8.9; 4.7; 8.6; 6.5; 4.6; 18.4; 26.6; 2.7 μB per cell.